1.
Here is a relaxed LiCoNi crystal from Alexandria. Energies are from GGA-PBEsol.

Summary:
Its space group is Imm2, No. 44. Its density of states at the Fermi level is 2.53 states/eV/cell. The calculated formation energy is 0.15 eV/atom. Its total energy is -5.13 eV per atom. The volume is 10.6 Å³/atom.

```
LiCoNi
1.0
-0.0288 1.5088 -1.8636
-3.4976 0.7171 0.6346
2.7277 1.6356 2.8249
Ni Li Co
1 1 1
direct
0.3407 0.3407 0.6814
0.6676 0.6676 0.3352
0.9917 0.9917 0.9835
```

---

2.
Here is a relaxed SmAs2Au crystal from Alexandria. Energies are from GGA-PBEsol.

Summary:
Its space group is Cmce, No. 64. Its density of states at the Fermi level is 5.03 states/eV/cell. The calculated formation energy is -0.80 eV/atom. Its total energy is -5.61 eV per atom. The volume is 20.3 Å³/atom.

```
SmAs2Au
1.0
-0.1408 -3.9666 0.6644
3.6251 0.1665 1.7395
-8.6917 3.2900 17.7984
As Au Sm
8 4 4
direct
0.2639 0.2639 0.0000
0.2583 0.7417 0.8433
0.2361 0.2361 0.5000
0.7583 0.2417 0.6567
0.7417 0.2583 0.1567
0.2417 0.7583 0.3433
0.7639 0.7639 0.5000
0.7361 0.7361 0.0000
0.2609 0.2391 0.7500
0.2391 0.2609 0.2500
0.7609 0.7391 0.7500
0.7391 0.7609 0.2500
0.7584 0.2416 0.8829
0.7416 0.2584 0.3829
0.2584 0.7416 0.6171
0.2416 0.7584 0.1171
```

---

3.
Here is a relaxed YSc2In crystal from Alexandria. Energies are from GGA-PBEsol.

Summary:
Its space group is R-3m, No. 166. Its density of states at the Fermi level is 5.41 states/eV/cell. The calculated formation energy is 0.14 eV/atom. Its total energy is -5.61 eV per atom. The volume is 26.5 Å³/atom.

```
YSc2In
1.0
-1.0519 -2.2724 2.1358
0.2679 -3.1971 -0.7338
9.9737 -2.0639 5.2521
Sc In Y
2 1 1
direct
0.0878 0.0878 0.7367
0.9122 0.9122 0.2633
0.0000 0.0000 0.0000
0.5000 0.5000 0.5000
```

---

4.
Here is a relaxed Bi3Pd8 crystal from Alexandria. Energies are from GGA-PBEsol.

Summary:
Its space group is R3, No. 146. Its density of states at the Fermi level is 21.32 states/eV/cell. The calculated formation energy is -0.25 eV/atom. Its total energy is -5.76 eV per atom. The volume is 17.3 Å³/atom.

```
Bi3Pd8
1.0
7.8402 0.0000 0.0000
3.9201 6.7899 0.0000
3.9201 2.2633 14.2650
Pd Bi
32 12
direct
0.1074 0.4092 0.6844
0.0025 0.2862 0.0860
0.1258 0.7856 0.5856
0.3394 0.7391 0.8836
0.5731 0.9349 0.2869
0.4350 0.0739 0.7867
0.9349 0.2050 0.2869
0.0379 0.3394 0.8836
0.2984 0.9094 0.1838
0.7044 0.4350 0.7867
0.4982 0.4982 0.5054
0.2386 0.8399 0.3828
0.8639 0.8639 0.4082
0.8399 0.5387 0.3828
0.6085 0.2984 0.1838
0.7391 0.0379 0.8836
0.6393 0.6393 0.0820
0.9975 0.9975 0.0075
0.2862 0.6252 0.0860
0.2050 0.5731 0.2869
0.5387 0.2386 0.3828
0.3646 0.3646 0.9062
0.7856 0.5030 0.5856
0.2065 0.2065 0.3805
0.7066 0.7066 0.8803
0.0739 0.7044 0.7867
0.5030 0.1258 0.5856
0.4092 0.7989 0.6844
0.6252 0.0025 0.0860
0.7989 0.1074 0.6844
0.9094 0.6085 0.1838
0.1392 0.1392 0.5825
0.3638 0.9968 0.9840
0.8641 0.1558 0.4844
0.6553 0.3638 0.9840
0.5732 0.5732 0.2805
0.9312 0.9312 0.2064
0.4318 0.4318 0.7045
0.7697 0.7697 0.6909
0.0730 0.0730 0.7811
0.2697 0.2697 0.1910
0.9968 0.6553 0.9840
0.1558 0.4957 0.4844
0.4957 0.8641 0.4844
```

---

5.
Here is a relaxed SmSnRh crystal from Alexandria. Energies are from GGA-PBEsol.

Summary:
Its space group is P-62m, No. 189. Its density of states at the Fermi level is 8.03 states/eV/cell. The calculated formation energy is -0.89 eV/atom. Its total energy is -6.72 eV per atom. The volume is 21.0 Å³/atom.

```
SmSnRh
1.0
-3.1166 -0.2926 -2.4392
2.4981 -6.5602 -2.4049
-4.5875 0.3147 5.8237
Rh Sm Sn
3 3 3
direct
0.5000 0.3333 0.6667
0.5000 0.6667 0.3333
0.0000 0.0000 0.0000
0.0000 0.5889 0.0000
0.0000 0.0000 0.5889
0.0000 0.4111 0.4111
0.5000 0.2546 0.0000
0.5000 0.0000 0.2546
0.5000 0.7454 0.7454
```

---

6.
Here is a relaxed BaCuTc crystal from Alexandria. Energies are from GGA-PBEsol.

Summary:
Its space group is P-6m2, No. 187. Its density of states at the Fermi level is 2.39 states/eV/cell. The calculated formation energy is 0.84 eV/atom. Its total energy is -5.08 eV per atom. The volume is 24.4 Å³/atom.

```
BaCuTc
1.0
-1.9437 4.0154 2.0019
-0.6709 -2.0875 3.5357
3.5901 2.0230 -0.5720
Cu Tc Ba
1 1 1
direct
0.0000 0.3333 0.6667
0.0000 0.6667 0.3333
0.5000 0.0000 0.0000
```

---

7.
Here is a relaxed Tb3BWO9 crystal from Alexandria. Energies are from GGA-PBEsol.

Summary:
Its space group is P6_3, No. 173. Its density of states at the Fermi level is 0.00 states/eV/cell. Its total energy is -9.04 eV per atom. The volume is 11.8 Å³/atom.

```
Tb3BWO9
1.0
-4.6033 1.4139 2.2910
3.3835 -1.3325 7.6207
0.5538 7.6221 -3.5911
O Tb W B
18 6 2 2
direct
0.0197 0.4866 0.8672
0.4644 0.1958 0.7306
0.9644 0.4651 0.1958
0.5197 0.5134 0.1328
0.6444 0.9460 0.8171
0.1444 0.1289 0.9460
0.0197 0.1328 0.6194
0.4644 0.2694 0.4651
0.0197 0.3806 0.5134
0.5197 0.6194 0.4866
0.1444 0.8171 0.8711
0.1444 0.0540 0.1829
0.9644 0.7306 0.5349
0.9644 0.8042 0.2694
0.5197 0.8672 0.3806
0.4644 0.5349 0.8042
0.6444 0.1829 0.1289
0.6444 0.8711 0.0540
0.2976 0.9161 0.6418
0.7976 0.2742 0.9161
0.2976 0.7258 0.0839
0.2976 0.3582 0.2742
0.7976 0.6418 0.7258
0.7976 0.0839 0.3582
0.7539 0.6667 0.3333
0.2539 0.3333 0.6667
0.6346 0.0000 0.0000
0.1346 0.0000 0.0000
```

---

8.
Here is a relaxed Li3FeO4 crystal from Alexandria. Energies are from GGA-PBEsol.

Summary:
Its space group is I-43m, No. 217. Its total energy is -6.21 eV per atom. The volume is 8.1 Å³/atom.

```
Li3FeO4
1.0
-1.1372 -5.8128 -3.6246
5.7425 -0.7478 3.8319
-5.4186 1.2279 4.1654
Li O Fe
12 16 4
direct
0.7450 0.2535 0.2535
0.5085 0.5085 0.2550
0.2535 0.7450 0.2535
0.4915 0.0000 0.7465
0.5085 0.2550 0.5085
0.7465 0.4915 0.0000
0.7465 0.0000 0.4915
0.4915 0.7465 0.0000
0.2550 0.5085 0.5085
0.0000 0.7465 0.4915
0.0000 0.4915 0.7465
0.2535 0.2535 0.7450
0.2443 0.7707 0.7707
0.0000 0.7759 0.0000
0.2241 0.2241 0.2241
0.2293 0.4736 0.0000
0.0000 0.2293 0.4736
0.2293 0.0000 0.4736
0.4736 0.2293 0.0000
0.7557 0.5264 0.5264
0.7707 0.7707 0.2443
0.5264 0.5264 0.7557
0.0000 0.4736 0.2293
0.0000 0.0000 0.7759
0.4736 0.0000 0.2293
0.7707 0.2443 0.7707
0.5264 0.7557 0.5264
0.7759 0.0000 0.0000
0.7341 0.7341 0.7341
0.2659 0.0000 0.0000
0.0000 0.2659 0.0000
0.0000 0.0000 0.2659
```

---

Repeat the fourth record exactly.
Here is a relaxed Bi3Pd8 crystal from Alexandria. Energies are from GGA-PBEsol.

Summary:
Its space group is R3, No. 146. Its density of states at the Fermi level is 21.32 states/eV/cell. The calculated formation energy is -0.25 eV/atom. Its total energy is -5.76 eV per atom. The volume is 17.3 Å³/atom.

```
Bi3Pd8
1.0
7.8402 0.0000 0.0000
3.9201 6.7899 0.0000
3.9201 2.2633 14.2650
Pd Bi
32 12
direct
0.1074 0.4092 0.6844
0.0025 0.2862 0.0860
0.1258 0.7856 0.5856
0.3394 0.7391 0.8836
0.5731 0.9349 0.2869
0.4350 0.0739 0.7867
0.9349 0.2050 0.2869
0.0379 0.3394 0.8836
0.2984 0.9094 0.1838
0.7044 0.4350 0.7867
0.4982 0.4982 0.5054
0.2386 0.8399 0.3828
0.8639 0.8639 0.4082
0.8399 0.5387 0.3828
0.6085 0.2984 0.1838
0.7391 0.0379 0.8836
0.6393 0.6393 0.0820
0.9975 0.9975 0.0075
0.2862 0.6252 0.0860
0.2050 0.5731 0.2869
0.5387 0.2386 0.3828
0.3646 0.3646 0.9062
0.7856 0.5030 0.5856
0.2065 0.2065 0.3805
0.7066 0.7066 0.8803
0.0739 0.7044 0.7867
0.5030 0.1258 0.5856
0.4092 0.7989 0.6844
0.6252 0.0025 0.0860
0.7989 0.1074 0.6844
0.9094 0.6085 0.1838
0.1392 0.1392 0.5825
0.3638 0.9968 0.9840
0.8641 0.1558 0.4844
0.6553 0.3638 0.9840
0.5732 0.5732 0.2805
0.9312 0.9312 0.2064
0.4318 0.4318 0.7045
0.7697 0.7697 0.6909
0.0730 0.0730 0.7811
0.2697 0.2697 0.1910
0.9968 0.6553 0.9840
0.1558 0.4957 0.4844
0.4957 0.8641 0.4844
```